First-principles (PBE-GGA) data for crystalline NpScCuS4 at its relaxed geometry, as listed in Alexandria via LeMat-Bulk.

Calculated values
Symmetry: Imma
Final energy: -6.951 eV/atom
Formation energy from raw total energies: -1.254 eV/atom
Magnetic moment: 6.00 μB/cell
N(E_F): 18.152 states/eV/cell

a b c (Å): 7.4248 7.5325 7.5325
angles (deg): 61.59 60.47 60.47
Last column: nearest neighbours and their distance in Å.
Positions (direct):
Cu1 0.3673 0.3827 0.8827  4 S 2.35-2.37
Cu2 0.6327 0.6173 0.1173  4 S 2.35-2.37
S1 0.2512 0.2363 0.2613  1 Cu 2.37, 2 Sc 2.61
S2 0.7488 0.7637 0.7387  1 Cu 2.37, 2 Sc 2.61
S3 0.7434 0.7552 0.2552  1 Cu 2.35, 1 Sc 2.59
S4 0.2512 0.7613 0.7363  1 Cu 2.37, 2 Sc 2.61
S5 0.7538 0.2448 0.7448  1 Cu 2.35, 1 Sc 2.59
S6 0.2462 0.7552 0.2552  1 Cu 2.35, 1 Sc 2.59
S7 0.7488 0.2387 0.2637  1 Cu 2.37, 2 Sc 2.61
S8 0.2566 0.2448 0.7448  1 Cu 2.35, 1 Sc 2.59
Sc1 0.0000 0.0000 0.5000  6 S 2.59-2.61
Sc2 0.5000 0.0000 0.5000  6 S 2.59-2.61
Np1 0.0000 0.0000 0.0000  6 S 2.66-2.68
Np2 0.0000 0.5000 0.5000  6 S 2.66-2.68

First-principles (PBE-GGA) data for crystalline Np2CuSe2S2 at its relaxed geometry, as listed in Alexandria via LeMat-Bulk.

Calculated values
Symmetry: P-3m1
Final energy: -7.414 eV/atom
Formation energy from raw total energies: -0.957 eV/atom
Magnetic moment: 7.00 μB/cell
N(E_F): 18.279 states/eV/cell

a b c (Å): 4.4366 4.4366 11.2024
angles (deg): 90.00 90.00 120.00
Last column: nearest neighbours and their distance in Å.
Positions (direct):
S1 0.3333 0.6667 0.4146  4 Np 2.71-2.78
S2 0.6667 0.3333 0.5854  4 Np 2.71-2.78
Cu1 0.0000 0.0000 0.0000  2 Se 2.26
Se1 0.0000 0.0000 0.7986  1 Cu 2.26
Se2 0.0000 0.0000 0.2014  1 Cu 2.26
Np1 0.3333 0.6667 0.6632  4 S 2.71-2.78, 3 Se 2.98
Np2 0.6667 0.3333 0.3368  4 S 2.71-2.78, 3 Se 2.98

First-principles (PBE-GGA) data for crystalline NpCuSeS at its relaxed geometry, as listed in Alexandria via LeMat-Bulk.

Calculated values
Symmetry: R-3m
Final energy: -6.954 eV/atom
Formation energy from raw total energies: -0.791 eV/atom
Magnetic moment: 7.99 μB/cell
N(E_F): 16.358 states/eV/cell

a b c (Å): 4.3070 4.3070 10.8112
angles (deg): 78.51 78.51 60.00
Last column: nearest neighbours and their distance in Å.
Positions (direct):
Se1 0.1179 0.1179 0.6464  4 Cu 2.54-2.55
Se2 0.8821 0.8821 0.3536  4 Cu 2.54-2.55
Np1 0.3932 0.3932 0.8203  4 S 2.65-2.86
Np2 0.6068 0.6068 0.1797  4 S 2.65-2.86
Cu1 0.1988 0.1988 0.4036  4 Se 2.54-2.55
Cu2 0.8012 0.8012 0.5964  4 Se 2.54-2.55
S1 0.6975 0.6975 0.9076  4 Np 2.65-2.86
S2 0.3025 0.3025 0.0924  4 Np 2.65-2.86

First-principles (PBE-GGA) data for crystalline SmNp2CuS5 at its relaxed geometry, as listed in Alexandria via LeMat-Bulk.

Calculated values
Symmetry: Cmc2_1
Final energy: -7.502 eV/atom
Formation energy from raw total energies: -1.354 eV/atom
Magnetic moment: 15.83 μB/cell
N(E_F): 33.612 states/eV/cell

a b c (Å): 3.8118 8.4834 11.7615
angles (deg): 90.00 90.00 102.98
Last column: nearest neighbours and their distance in Å.
Positions (direct):
Sm1 0.8197 0.6394 0.5281  6 S 2.77-2.81
Sm2 0.1803 0.3606 0.0281  6 S 2.77-2.81
S1 0.3011 0.6023 0.6981  2 Sm 2.78, 3 Np 2.99-3.08
S2 0.6811 0.3622 0.8537  1 Cu 2.33
S3 0.6524 0.3048 0.5190  1 Sm 2.77, 4 Np 2.85-2.86
S4 0.9895 0.9790 0.5160  2 Cu 2.29
S5 0.4933 0.9866 0.7475  1 Cu 2.26
S6 0.0105 0.0210 0.0160  2 Cu 2.29
S7 0.3476 0.6952 0.0190  1 Sm 2.77, 4 Np 2.85-2.86
S8 0.5067 0.0134 0.2475  1 Cu 2.26
S9 0.3189 0.6378 0.3537  1 Cu 2.33
S10 0.6989 0.3977 0.1981  2 Sm 2.78, 3 Np 2.99-3.08
Cu1 0.4509 0.9018 0.4225  4 S 2.26-2.33
Cu2 0.5491 0.0982 0.9225  4 S 2.26-2.33
Np1 0.8850 0.7699 0.1910  8 S 2.85-3.08
Np2 0.8903 0.7806 0.8480  7 S 2.80-2.99
Np3 0.1097 0.2194 0.3480  7 S 2.80-2.99
Np4 0.1150 0.2301 0.6910  8 S 2.85-3.08

First-principles (PBE-GGA) data for crystalline SrNp2CuS5 at its relaxed geometry, as listed in Alexandria via LeMat-Bulk.

Calculated values
Symmetry: I4/mcm
Final energy: -7.153 eV/atom
Formation energy from raw total energies: -1.342 eV/atom
Magnetic moment: 14.00 μB/cell
N(E_F): 31.671 states/eV/cell

a b c (Å): 7.5209 7.5209 8.5154
angles (deg): 116.21 116.21 90.00
Last column: nearest neighbours and their distance in Å.
Positions (direct):
S1 0.2122 0.0217 0.7340  1 Cu 2.26
S2 0.9783 0.4783 0.2660  1 Cu 2.26
S3 0.5000 0.5000 0.0000  4 Np 2.84
S4 0.7122 0.2122 0.7340  1 Cu 2.26
S5 0.0000 0.0000 0.0000  4 Np 2.84
S6 0.4783 0.2878 0.2660  1 Cu 2.26
S7 0.2878 0.7878 0.2660  1 Cu 2.26
S8 0.7878 0.9783 0.2660  1 Cu 2.26
S9 0.0217 0.5217 0.7340  1 Cu 2.26
S10 0.5217 0.7122 0.7340  1 Cu 2.26
Cu1 0.2500 0.7500 0.5000  4 S 2.26
Cu2 0.7500 0.2500 0.5000  4 S 2.26
Np1 0.3432 0.8432 0.0000  8 S 2.67-2.94
Np2 0.6568 0.1568 0.0000  8 S 2.67-2.94
Np3 0.1568 0.3432 0.0000  8 S 2.67-2.94
Np4 0.8432 0.6568 0.0000  8 S 2.67-2.94
Sr1 0.7500 0.7500 0.5000  10 S 3.24-3.33
Sr2 0.2500 0.2500 0.5000  10 S 3.24-3.33

First-principles (PBE-GGA) data for crystalline Sr2NpCuS5 at its relaxed geometry, as listed in Alexandria via LeMat-Bulk.

Calculated values
Symmetry: Cmc2_1
Final energy: -6.009 eV/atom
Formation energy from raw total energies: -1.449 eV/atom
Magnetic moment: 4.01 μB/cell
N(E_F): 10.356 states/eV/cell

a b c (Å): 4.0063 8.8526 12.3291
angles (deg): 90.00 90.00 103.08
Last column: nearest neighbours and their distance in Å.
Positions (direct):
S1 0.3528 0.7056 0.0118  1 Np 2.60
S2 0.2937 0.5873 0.6652  2 Np 2.68
S3 0.3013 0.6026 0.3762  1 Cu 2.35
S4 0.4996 0.9992 0.2728  1 Cu 2.28
S5 0.9443 0.8886 0.5269  2 Cu 2.34, 1 Np 2.53
S6 0.6472 0.2944 0.5118  1 Np 2.60
S7 0.0557 0.1114 0.0269  2 Cu 2.34, 1 Np 2.53
S8 0.6987 0.3974 0.8762  1 Cu 2.35
S9 0.5004 0.0008 0.7728  1 Cu 2.28
S10 0.7063 0.4127 0.1652  2 Np 2.68
Sr1 0.1096 0.2192 0.6913  5 S 2.93-3.19
Sr2 0.1159 0.2319 0.3275  7 S 2.91-3.25
Sr3 0.8841 0.7681 0.8275  7 S 2.91-3.25
Sr4 0.8904 0.7808 0.1913  5 S 2.93-3.19
Cu1 0.5683 0.1366 0.9312  4 S 2.28-2.35
Cu2 0.4317 0.8634 0.4312  4 S 2.28-2.35
Np1 0.2024 0.4048 0.0210  6 S 2.53-2.68
Np2 0.7976 0.5952 0.5210  6 S 2.53-2.68

First-principles (PBE-GGA) data for crystalline NpTiCuS4 at its relaxed geometry, as listed in Alexandria via LeMat-Bulk.

Calculated values
Symmetry: Imma
Final energy: -7.018 eV/atom
Formation energy from raw total energies: -1.097 eV/atom
Magnetic moment: 7.91 μB/cell
N(E_F): 18.722 states/eV/cell

a b c (Å): 7.2185 7.3755 7.3755
angles (deg): 62.48 60.70 60.70
Last column: nearest neighbours and their distance in Å.
Positions (direct):
S1 0.7544 0.2386 0.7386  1 Cu 2.32, 1 Ti 2.47
S2 0.7427 0.7790 0.7356  1 Cu 2.36, 2 Ti 2.51
S3 0.2573 0.7644 0.7210  1 Cu 2.36, 2 Ti 2.51
S4 0.2685 0.2386 0.7386  1 Cu 2.32, 1 Ti 2.47
S5 0.2573 0.2210 0.2644  1 Cu 2.36, 2 Ti 2.51
S6 0.7315 0.7614 0.2614  1 Cu 2.32, 1 Ti 2.47
S7 0.7427 0.2356 0.2790  1 Cu 2.36, 2 Ti 2.51
S8 0.2456 0.7614 0.2614  1 Cu 2.32, 1 Ti 2.47
Np1 0.0000 0.0000 0.0000  6 S 2.67
Np2 0.0000 0.5000 0.5000  6 S 2.67
Cu1 0.3651 0.3849 0.8849  4 S 2.32-2.36
Cu2 0.6349 0.6151 0.1151  4 S 2.32-2.36
Ti1 0.0000 0.0000 0.5000  6 S 2.47-2.51
Ti2 0.5000 0.0000 0.5000  6 S 2.47-2.51

First-principles (PBE-GGA) data for crystalline NpTlCu2S4 at its relaxed geometry, as listed in Alexandria via LeMat-Bulk.

Calculated values
Symmetry: I222
Final energy: -5.430 eV/atom
Formation energy from raw total energies: -0.429 eV/atom
Magnetic moment: 3.21 μB/cell
N(E_F): 12.042 states/eV/cell

a b c (Å): 6.5396 5.9373 5.9373
angles (deg): 69.36 56.58 56.58
Last column: nearest neighbours and their distance in Å.
Positions (direct):
Np1 0.5000 0.5000 0.5000  4 S 2.73
S1 0.0430 0.9352 0.4670  1 Cu 2.25
S2 0.4453 0.0648 0.5330  1 Cu 2.25
S3 0.9570 0.5330 0.0648  1 Cu 2.25
S4 0.5547 0.4670 0.9352  1 Cu 2.25
Cu1 0.8085 0.6915 0.6915  2 S 2.25
Cu2 0.1915 0.3085 0.3085  2 S 2.25
Tl1 0.0000 0.0000 0.0000  4 S 2.81